First-principles (PBE) data for crystalline TaMnFe2 at its relaxed geometry, as listed in Alexandria via LeMat-Bulk.

Values from the calculation:
Formation energy from the elements   0.081 eV/atom
Magnetic moment   4.94 μB per formula unit
Electronic total energy   -9.4058 eV per atom

a = 4.8413 Å, b = 4.8413 Å, c = 2.6549 Å
α = 80.05°, β = 80.05°, γ = 117.01°
With the nearest neighbours (Å) after each atom.
Element x y z (fractional)
1 Mn 0.5000 0.0000 0.5000  2 Ta 2.53, 4 Fe 2.55, 2 Mn 2.65
2 Ta 0.0000 0.5000 0.5000  2 Mn 2.53, 4 Fe 2.55, 2 Ta 2.65
3 Fe 0.0000 0.0000 0.0000  4 Fe 2.53-2.65, 2 Ta 2.55, 2 Mn 2.55
4 Fe 0.5000 0.5000 0.0000  4 Fe 2.53-2.65, 2 Mn 2.55, 2 Ta 2.55


First-principles (PBE) data for crystalline Ta6MnFe5 at its relaxed geometry, as listed in Alexandria via LeMat-Bulk.

Values from the calculation:
Formation energy from the elements   -0.162 eV/atom
Magnetic moment   4.29 μB per formula unit
Electronic total energy   -10.3786 eV per atom

a = 4.3345 Å, b = 6.1169 Å, c = 7.5099 Å
α = 114.03°, β = 106.73°, γ = 90.00°
With the nearest neighbours (Å) after each atom.
Element x y z (fractional)
1 Ta 0.5000 0.2496 0.0000  6 Fe 2.65-2.66, 2 Mn 2.65
2 Ta 0.1664 0.9167 0.3328  1 Mn 2.65, 7 Fe 2.65-2.66
3 Ta 0.5000 0.7504 0.0000  6 Fe 2.65-2.66, 2 Mn 2.65
4 Ta 0.8336 0.5839 0.6672  1 Mn 2.65, 7 Fe 2.65-2.66
5 Ta 0.8336 0.0833 0.6672  1 Mn 2.65, 7 Fe 2.65-2.66
6 Ta 0.1664 0.4161 0.3328  1 Mn 2.65, 7 Fe 2.65-2.66
7 Mn 0.0000 0.0000 0.0000  8 Ta 2.65
8 Fe 0.0000 0.5000 0.0000  8 Ta 2.65
9 Fe 0.6663 0.1663 0.3326  8 Ta 2.65-2.66
10 Fe 0.6671 0.6671 0.3342  8 Ta 2.65-2.66
11 Fe 0.3329 0.3329 0.6658  8 Ta 2.65-2.66
12 Fe 0.3337 0.8337 0.6674  8 Ta 2.65-2.66


First-principles (PBE) data for crystalline Ta4Mn2Fe at its relaxed geometry, as listed in Alexandria via LeMat-Bulk.

Values from the calculation:
Formation energy from the elements   0.015 eV/atom
Magnetic moment   0.23 μB per formula unit
Electronic total energy   -10.5866 eV per atom

a = 5.2380 Å, b = 5.2380 Å, c = 5.2380 Å
α = 109.29°, β = 109.56°, γ = 109.56°
With the nearest neighbours (Å) after each atom.
Element x y z (fractional)
1 Ta 0.0000 0.5000 0.0000  4 Mn 2.62, 2 Fe 2.62
2 Ta 0.0000 0.0000 0.5000  4 Mn 2.62, 2 Fe 2.62
3 Ta 0.5000 0.5000 0.5000  4 Mn 2.62, 2 Fe 2.62
4 Ta 0.5000 0.0000 0.0000  2 Fe 2.62, 4 Mn 2.62
5 Fe 0.0000 0.0000 0.0000  8 Ta 2.62
6 Mn 0.5000 0.5000 0.0000  8 Ta 2.62
7 Mn 0.5000 0.0000 0.5000  8 Ta 2.62


First-principles (PBE) data for crystalline Ta2MnFe at its relaxed geometry, as listed in Alexandria via LeMat-Bulk.

Values from the calculation:
Formation energy from the elements   0.057 eV/atom
Magnetic moment   2.22 μB per formula unit
Electronic total energy   -10.2770 eV per atom

a = 4.0181 Å, b = 2.7877 Å, c = 5.3796 Å
α = 78.37°, β = 90.00°, γ = 90.00°
With the nearest neighbours (Å) after each atom.
Element x y z (fractional)
1 Mn 0.5000 0.7500 0.7500  4 Ta 2.58, 2 Fe 2.77, 2 Mn 2.79
2 Ta 0.0000 0.9963 0.9982  2 Mn 2.58, 2 Fe 2.60, 4 Ta 2.76-2.79
3 Ta 0.0000 0.5037 0.5018  2 Mn 2.58, 2 Fe 2.60, 4 Ta 2.76-2.79
4 Fe 0.5000 0.2500 0.2500  4 Ta 2.60, 2 Mn 2.77, 2 Fe 2.79


First-principles (PBE) data for crystalline Ta2Ti5MnFe2 at its relaxed geometry, as listed in Alexandria via LeMat-Bulk.

Values from the calculation:
Formation energy from the elements   -0.105 eV/atom
Magnetic moment   0.00 μB per formula unit
Electronic total energy   -9.0320 eV per atom

a = 3.0075 Å, b = 10.0508 Å, c = 10.0508 Å
α = 90.00°, β = 90.00°, γ = 90.00°
With the nearest neighbours (Å) after each atom.
Element x y z (fractional)
1 Fe 0.0000 0.6328 0.8672  6 Ti 2.41-2.42, 1 Ta 2.64
2 Fe 0.0000 0.8672 0.3672  6 Ti 2.41-2.42, 1 Ta 2.64
3 Fe 0.0000 0.3672 0.1328  6 Ti 2.41-2.42, 1 Ta 2.64
4 Fe 0.0000 0.1328 0.6328  6 Ti 2.41-2.42, 1 Ta 2.64
5 Mn 0.0000 0.0000 0.0000  8 Ti 2.54
6 Mn 0.0000 0.5000 0.5000  8 Ti 2.54
7 Ta 0.0000 0.3184 0.8184  1 Fe 2.64
8 Ta 0.0000 0.8184 0.6816  1 Fe 2.64
9 Ta 0.0000 0.6816 0.1816  1 Fe 2.64
10 Ta 0.0000 0.1816 0.3184  1 Fe 2.64
11 Ti 0.5000 0.0522 0.8033  2 Fe 2.42, 2 Mn 2.54
12 Ti 0.5000 0.0000 0.5000  4 Fe 2.41
13 Ti 0.5000 0.5522 0.6967  2 Fe 2.42, 2 Mn 2.54
14 Ti 0.5000 0.9478 0.1967  2 Fe 2.42, 2 Mn 2.54
15 Ti 0.5000 0.1967 0.0522  2 Fe 2.42, 2 Mn 2.54
16 Ti 0.5000 0.6967 0.4478  2 Fe 2.42, 2 Mn 2.54
17 Ti 0.5000 0.8033 0.9478  2 Fe 2.42, 2 Mn 2.54
18 Ti 0.5000 0.3033 0.5522  2 Fe 2.42, 2 Mn 2.54
19 Ti 0.5000 0.4478 0.3033  2 Fe 2.42, 2 Mn 2.54
20 Ti 0.5000 0.5000 0.0000  4 Fe 2.41


First-principles (PBE) data for crystalline YTa2MnFe at its relaxed geometry, as listed in Alexandria via LeMat-Bulk.

Values from the calculation:
Formation energy from the elements   2.682 eV/atom
Distance to the lowest polymorph of the same formula   1.528 eV per atom
Magnetic moment   1.91 μB per formula unit
Electronic total energy   -6.8778 eV per atom

a = 4.9120 Å, b = 4.4689 Å, c = 4.9120 Å
α = 90.00°, β = 90.00°, γ = 90.00°
With the nearest neighbours (Å) after each atom.
Element x y z (fractional)
1 Ta 0.5000 0.0000 0.0000  2 Y 2.46
2 Ta 0.0000 0.0000 0.5000  2 Y 2.46
3 Mn 0.0000 0.5000 0.0000  2 Y 2.23
4 Y 0.0000 0.0000 0.0000  2 Mn 2.23, 4 Ta 2.46
5 Fe 0.5000 0.5000 0.5000  8 Ta 3.32, 4 Mn 3.47


First-principles (PBE) data for crystalline YTa2MnFe at its relaxed geometry, as listed in Alexandria via LeMat-Bulk.

Values from the calculation:
Formation energy from the elements   1.155 eV/atom
Distance to the lowest polymorph of the same formula   0.000 eV per atom
Magnetic moment   0.00 μB per formula unit
Electronic total energy   -8.4057 eV per atom

a = 4.5209 Å, b = 5.0373 Å, c = 4.5209 Å
α = 90.00°, β = 90.00°, γ = 90.00°
With the nearest neighbours (Å) after each atom.
Element x y z (fractional)
1 Mn 0.0000 0.0000 0.0000  4 Ta 2.26, 2 Y 2.52
2 Ta 0.0000 0.0000 0.5000  2 Mn 2.26
3 Ta 0.5000 0.0000 0.0000  2 Mn 2.26
4 Fe 0.5000 0.5000 0.5000  4 Y 3.20, 8 Ta 3.38
5 Y 0.0000 0.5000 0.0000  2 Mn 2.52


First-principles (PBE) data for crystalline TbMn6Fe3 at its relaxed geometry, as listed in Alexandria via LeMat-Bulk.

Values from the calculation:
Formation energy from the elements   0.158 eV/atom
Magnetic moment   6.53 μB per formula unit
Electronic total energy   -8.3458 eV per atom

a = 5.0820 Å, b = 4.8649 Å, c = 6.8900 Å
α = 105.02°, β = 97.43°, γ = 122.83°
With the nearest neighbours (Å) after each atom.
Element x y z (fractional)
1 Mn 0.2679 0.8563 0.6483  6 Mn 2.27-2.52, 1 Fe 2.40
2 Mn 0.7495 0.0923 0.2786  4 Mn 2.29-2.53, 3 Fe 2.45-2.56
3 Mn 0.7584 0.6578 0.4101  6 Mn 2.39-2.64, 3 Fe 2.44-2.60
4 Mn 0.7301 0.2982 0.6130  5 Mn 2.27-2.53
5 Mn 0.2481 0.5820 0.3047  4 Mn 2.29-2.49, 2 Fe 2.37-2.52
6 Mn 0.2544 0.3398 0.6150  2 Fe 2.40-2.59, 6 Mn 2.43-2.66
7 Fe 0.2200 0.0367 0.2662  7 Mn 2.37-2.60, 1 Fe 2.37
8 Fe 0.6274 0.4191 0.0252  2 Mn 2.44-2.69, 2 Fe 2.68-2.72
9 Fe 0.2554 0.7181 0.9583  1 Fe 2.37, 5 Mn 2.40-2.64
10 Tb 0.8889 0.9997 0.8806  7 Fe 2.77-3.02, 9 Mn 2.87-3.03


First-principles (PBE) data for crystalline TbMn3Fe8 at its relaxed geometry, as listed in Alexandria via LeMat-Bulk.

Values from the calculation:
Formation energy from the elements   0.133 eV/atom
Magnetic moment   22.89 μB per formula unit
Electronic total energy   -8.1868 eV per atom

a = 4.7959 Å, b = 4.7959 Å, c = 7.8440 Å
α = 90.00°, β = 90.00°, γ = 120.00°
With the nearest neighbours (Å) after each atom.
Element x y z (fractional)
1 Fe 0.9925 0.4963 0.7635  6 Fe 2.33-2.53
2 Fe 0.6711 0.8356 0.2393  6 Fe 2.35-2.46
3 Fe 0.3333 0.6667 0.9990  6 Fe 2.33-2.35
4 Fe 0.5037 0.0075 0.7635  6 Fe 2.33-2.53
5 Fe 0.5037 0.4963 0.7635  6 Fe 2.33-2.53
6 Fe 0.1644 0.3289 0.2393  6 Fe 2.35-2.46
7 Fe 0.3333 0.6667 0.4963  6 Fe 2.46-2.53
8 Fe 0.1644 0.8356 0.2393  6 Fe 2.35-2.46
9 Tb 0.0000 0.0000 0.5632  12 Fe 2.82-2.88, 4 Mn 2.98-3.04
10 Mn 0.0000 0.0000 0.9506  12 Fe 2.64-2.81, 3 Mn 2.90
11 Mn 0.6667 0.3333 0.0607  12 Fe 2.70-2.81, 4 Mn 2.83-2.90
12 Mn 0.6667 0.3333 0.4217  12 Fe 2.79-3.00, 1 Mn 2.83, 3 Tb 2.98


First-principles (PBE) data for crystalline TbMnFe4 at its relaxed geometry, as listed in Alexandria via LeMat-Bulk.

Values from the calculation:
Formation energy from the elements   0.069 eV/atom
Magnetic moment   10.78 μB per formula unit
Electronic total energy   -7.8732 eV per atom

a = 4.9379 Å, b = 4.9379 Å, c = 4.9379 Å
α = 60.00°, β = 60.00°, γ = 60.00°
With the nearest neighbours (Å) after each atom.
Element x y z (fractional)
1 Mn 0.2500 0.2500 0.2500  12 Fe 2.89, 4 Tb 3.02
2 Tb 0.0000 0.0000 0.0000  12 Fe 2.90, 4 Mn 3.02
3 Fe 0.6241 0.6241 0.6241  6 Fe 2.45-2.49
4 Fe 0.6241 0.6241 0.1277  6 Fe 2.45-2.49
5 Fe 0.6241 0.1277 0.6241  6 Fe 2.45-2.49
6 Fe 0.1277 0.6241 0.6241  6 Fe 2.45-2.49